No. 1
A plane-wave DFT calculation with PBE-GGA was carried out for crystalline BaAsPO2 at its relaxed geometry.

abc: 4.3222 4.3222 7.1086
angles: 90.00 90.00 90.00
With the nearest neighbours (Å) after each atom.
Positions (direct):
1 Ba 0.0000 0.0000 0.0000  4 O 2.16
2 As 0.5000 0.5000 0.5000  4 P 3.06
3 P 0.0000 0.0000 0.5000  4 As 3.06
4 O 0.0000 0.5000 0.0000  2 Ba 2.16
5 O 0.5000 0.0000 0.0000  2 Ba 2.16

Summary:
distance to the lowest polymorph of the same formula = 1182.7 meV per atom
formation energy without anion corrections = 0.38 eV per atom
space group = P4/mmm
mass density = 3.44 g cm⁻³

***

No. 2
A plane-wave DFT calculation with PBE-GGA was carried out for crystalline BaAsPO2 at its relaxed geometry.

abc: 4.2696 4.2696 4.7051
angles: 90.00 90.00 90.00
With the nearest neighbours (Å) after each atom.
Positions (direct):
1 Ba 0.0000 0.0000 0.0000  4 P 3.02, 8 O 3.18
2 As 0.5000 0.5000 0.5000  4 O 2.13, 2 P 2.35
3 P 0.5000 0.5000 0.0000  2 As 2.35
4 O 0.0000 0.5000 0.5000  2 As 2.13
5 O 0.5000 0.0000 0.5000  2 As 2.13

Summary:
distance to the lowest polymorph of the same formula = 0.0 meV per atom
formation energy without anion corrections = -0.81 eV per atom
space group = P4/mmm
mass density = 5.33 g cm⁻³

***

No. 3
A plane-wave DFT calculation with PBE-GGA was carried out for crystalline Ba2PaAs3O12 at its relaxed geometry.

abc: 7.2415 7.2415 7.2415
angles: 57.14 57.14 57.14
With the nearest neighbours (Å) after each atom.
Positions (direct):
1 Ba 0.1067 0.1067 0.1067  9 O 2.96-3.15
2 Ba 0.8933 0.8933 0.8933  9 O 2.96-3.15
3 Pa 0.5000 0.5000 0.5000  6 O 2.18
4 As 0.0000 0.5000 0.5000  6 O 1.85-1.87
5 As 0.5000 0.0000 0.5000  6 O 1.85-1.87
6 As 0.5000 0.5000 0.0000  6 O 1.85-1.87
7 O 0.1285 0.5900 0.5900  1 As 1.87
8 O 0.1884 0.1884 0.5984  2 As 1.85
9 O 0.1884 0.5984 0.1884  2 As 1.85
10 O 0.4016 0.8116 0.8116  2 As 1.85
11 O 0.4100 0.4100 0.8715  1 As 1.87
12 O 0.4100 0.8715 0.4100  1 As 1.87
13 O 0.5900 0.1285 0.5900  1 As 1.87
14 O 0.5900 0.5900 0.1285  1 As 1.87
15 O 0.5984 0.1884 0.1884  2 As 1.85
16 O 0.8116 0.4016 0.8116  2 As 1.85
17 O 0.8116 0.8116 0.4016  2 As 1.85
18 O 0.8715 0.4100 0.4100  1 As 1.87

Summary:
formation energy without anion corrections = -2.04 eV per atom
space group = R-3m
mass density = 6.11 g cm⁻³

***

No. 4
A plane-wave DFT calculation with PBE-GGA was carried out for crystalline Ba2PaAsO6 at its relaxed geometry.

abc: 4.3613 4.3613 8.7050
angles: 90.00 90.00 90.00
With the nearest neighbours (Å) after each atom.
Positions (direct):
1 Ba 0.0000 0.0000 0.2131  8 O 2.86-3.10
2 Ba 0.0000 0.0000 0.7869  8 O 2.86-3.10
3 Pa 0.5000 0.5000 0.5000  6 O 2.14-2.18
4 As 0.5000 0.5000 0.0000  6 O 2.18-2.21
5 O 0.0000 0.5000 0.0000  2 As 2.18
6 O 0.0000 0.5000 0.5000  2 Pa 2.18
7 O 0.5000 0.0000 0.0000  2 As 2.18
8 O 0.5000 0.0000 0.5000  2 Pa 2.18
9 O 0.5000 0.5000 0.2541  1 Pa 2.14, 1 As 2.21
10 O 0.5000 0.5000 0.7459  1 Pa 2.14, 1 As 2.21

Summary:
formation energy without anion corrections = -2.66 eV per atom
space group = P4/mmm
mass density = 6.79 g cm⁻³

***

No. 5
A plane-wave DFT calculation with PBE-GGA was carried out for crystalline Ba2As2PbO6 at its relaxed geometry.

abc: 7.4694 7.4694 7.4694
angles: 46.32 46.32 46.32
With the nearest neighbours (Å) after each atom.
Positions (direct):
1 Ba 0.2040 0.2040 0.2040  9 O 2.82-3.02
2 Ba 0.7960 0.7960 0.7960  9 O 2.82-3.02
3 As 0.3892 0.3892 0.3892  3 O 1.79
4 As 0.6108 0.6108 0.6108  3 O 1.79
5 Pb 0.0000 0.0000 0.0000  6 O 2.59
6 O 0.2548 0.7307 0.7307  1 As 1.79
7 O 0.2693 0.2693 0.7452  1 As 1.79
8 O 0.2693 0.7452 0.2693  1 As 1.79
9 O 0.7307 0.2548 0.7307  1 As 1.79
10 O 0.7307 0.7307 0.2548  1 As 1.79
11 O 0.7452 0.2693 0.2693  1 As 1.79

Summary:
formation energy without anion corrections = -1.87 eV per atom
space group = R-3m
mass density = 6.07 g cm⁻³

***

No. 6
A plane-wave DFT calculation with PBE-GGA was carried out for crystalline BaAs2PdO6 at its relaxed geometry.

abc: 6.9374 6.9374 6.9374
angles: 46.65 46.65 46.65
With the nearest neighbours (Å) after each atom.
Positions (direct):
1 Ba 0.0000 0.0000 0.0000  6 O 2.83
2 As 0.2599 0.2599 0.2599  3 O 1.78
3 As 0.7401 0.7401 0.7401  3 O 1.78
4 Pd 0.5000 0.5000 0.5000  6 O 2.09
5 O 0.1032 0.4889 0.7083  1 As 1.78
6 O 0.2917 0.8968 0.5111  1 As 1.78
7 O 0.4889 0.7083 0.1032  1 As 1.78
8 O 0.5111 0.2917 0.8968  1 As 1.78
9 O 0.7083 0.1032 0.4889  1 As 1.78
10 O 0.8968 0.5111 0.2917  1 As 1.78

Summary:
formation energy without anion corrections = -1.19 eV per atom
space group = R-3
mass density = 5.04 g cm⁻³

***

No. 7
A plane-wave DFT calculation with PBE-GGA was carried out for crystalline BaAsPdO5 at its relaxed geometry.

abc: 6.2273 6.2273 7.0803
angles: 98.51 98.51 103.17
With the nearest neighbours (Å) after each atom.
Positions (direct):
1 Ba 0.1431 0.8569 0.7500  7 O 2.76-2.86
2 Ba 0.8569 0.1431 0.2500  7 O 2.76-2.86
3 As 0.2167 0.7833 0.2500  4 O 1.71-1.76
4 As 0.7833 0.2167 0.7500  4 O 1.71-1.76
5 Pd 0.5000 0.5000 0.0000  4 O 1.91-2.09
6 Pd 0.5000 0.5000 0.5000  4 O 1.91-2.09
7 O 0.0188 0.2445 0.9190  1 As 1.71
8 O 0.1979 0.5563 0.3740  1 As 1.76
9 O 0.2445 0.0188 0.4190  1 As 1.71
10 O 0.4255 0.5745 0.7500  2 Pd 1.91
11 O 0.4437 0.8021 0.1260  1 As 1.76
12 O 0.5563 0.1979 0.8740  1 As 1.76
13 O 0.5745 0.4255 0.2500  2 Pd 1.91
14 O 0.7555 0.9812 0.5810  1 As 1.71
15 O 0.8021 0.4437 0.6260  1 As 1.76
16 O 0.9812 0.7555 0.0810  1 As 1.71

Summary:
formation energy without anion corrections = -1.48 eV per atom
space group = C2/c
mass density = 5.10 g cm⁻³

***

No. 8
A plane-wave DFT calculation with PBE-GGA was carried out for crystalline BaAs2PdO8 at its relaxed geometry.

abc: 8.7208 8.7208 8.7208
angles: 34.22 34.22 34.22
With the nearest neighbours (Å) after each atom.
Positions (direct):
1 Ba 0.0000 0.0000 0.0000  12 O 3.02-3.36
2 As 0.2402 0.2402 0.2402  4 O 1.71-1.73
3 As 0.7598 0.7598 0.7598  4 O 1.71-1.73
4 Pd 0.5000 0.5000 0.5000  6 O 2.06
5 O 0.1271 0.4836 0.7229  1 As 1.73
6 O 0.2771 0.5164 0.8729  1 As 1.73
7 O 0.3096 0.3096 0.3096  1 As 1.71
8 O 0.4836 0.7229 0.1271  1 As 1.73
9 O 0.5164 0.8729 0.2771  1 As 1.73
10 O 0.6904 0.6904 0.6904  1 As 1.71
11 O 0.7229 0.1271 0.4836  1 As 1.73
12 O 0.8729 0.2771 0.5164  1 As 1.73

Summary:
formation energy without anion corrections = -1.17 eV per atom
space group = R32
mass density = 4.63 g cm⁻³